Compound: LaPm14Pu
Source: Alexandria via LeMat-Bulk
Functional: PBE
Structure: relaxed

Summary:
Mass density = 7.337 g cm⁻³
E_form = 0.7 eV per formula unit
Size of the total moment = 6.7 Bohr magnetons per cell

Cell: 7.290 7.290 10.275 Å, 90.00 90.00 89.92°
Positions (direct):
Pm: 0.628 0.372 0.248
Pm: 0.122 0.372 0.248
Pm: 0.375 0.125 0.000
Pm: 0.122 0.878 0.248
La: 0.375 0.625 0.000
Pm: 0.628 0.878 0.752
Pm: 0.122 0.878 0.752
Pm: 0.628 0.372 0.752
Pm: 0.875 0.625 0.500
Pm: 0.122 0.372 0.752
Pm: 0.375 0.625 0.500
Pm: 0.875 0.125 0.500
Pm: 0.628 0.878 0.248
Pm: 0.875 0.625 0.000
Pm: 0.375 0.125 0.500
Pu: 0.875 0.125 0.000

Compound: La6Pm3Pu
Source: Alexandria via LeMat-Bulk
Functional: PBE
Structure: relaxed

Summary:
Mass density = 7.119 g cm⁻³
E_form = 1.7 eV per formula unit
Size of the total moment = 12.7 Bohr magnetons per cell

Cell: 6.420 9.473 11.602 Å, 90.00 89.45 90.00°
Positions (direct):
Pm: 0.862 0.342 0.251
La: 0.656 0.506 0.735
Pm: 0.000 0.000 0.500
La: 0.844 0.006 0.765
La: 0.021 0.325 0.941
La: 0.156 0.994 0.235
La: 0.479 0.825 0.559
La: 0.344 0.494 0.265
Pm: 0.638 0.842 0.249
La: 0.963 0.660 0.439
La: 0.537 0.160 0.061
La: 0.037 0.340 0.561
La: 0.521 0.175 0.441
Pm: 0.500 0.500 0.000
Pm: 0.362 0.158 0.751
Pu: 0.000 0.000 0.000
La: 0.979 0.675 0.059
Pu: 0.500 0.500 0.500
Pm: 0.138 0.658 0.749
La: 0.463 0.840 0.939

Compound: La14PmPu
Source: Alexandria via LeMat-Bulk
Functional: PBE
Structure: relaxed

Summary:
Mass density = 6.820 g cm⁻³
E_form = 0.5 eV per formula unit
Size of the total moment = 6.8 Bohr magnetons per cell

Cell: 7.384 7.384 10.422 Å, 90.00 90.00 89.94°
Positions (direct):
La: 0.622 0.378 0.747
La: 0.620 0.870 0.244
Pm: 0.875 0.125 0.000
La: 0.375 0.625 0.500
Pu: 0.375 0.625 0.000
La: 0.367 0.118 0.500
La: 0.130 0.380 0.756
La: 0.383 0.137 0.000
La: 0.131 0.869 0.765
La: 0.863 0.617 0.000
La: 0.131 0.869 0.235
La: 0.130 0.380 0.244
La: 0.622 0.378 0.253
La: 0.620 0.870 0.756
La: 0.875 0.125 0.500
La: 0.882 0.633 0.500

The lowest size of the total moment belongs to which entry? LaPm14Pu